# 1
# ScRhO3 (meta-GGA SCAN, PBEsol geometry)
data_ScRhO3
_cell_length_a 5.0177
_cell_length_b 5.4819
_cell_length_c 7.4204
_cell_angle_alpha 90.00
_cell_angle_beta 90.00
_cell_angle_gamma 90.00
_symmetry_space_group_name_H-M 'P 1'
_symmetry_Int_Tables_number 1
loop_
_symmetry_equiv_pos_as_xyz
'x,y,z'
loop_
_atom_site_label
_atom_site_type_symbol
_atom_site_fract_x
_atom_site_fract_y
_atom_site_fract_z
_atom_site_occupancy
Sc1 Sc 0.9621 0.0857 0.2500 1
Sc2 Sc 0.4621 0.4143 0.7500 1
Sc3 Sc 0.5379 0.5857 0.2500 1
Sc4 Sc 0.0379 0.9143 0.7500 1
Rh1 Rh 0.0000 0.5000 0.0000 1
Rh2 Rh 0.5000 0.0000 0.0000 1
Rh3 Rh 0.5000 0.0000 0.5000 1
Rh4 Rh 0.0000 0.5000 0.5000 1
O1 O 0.6736 0.3138 0.4239 1
O2 O 0.1736 0.1862 0.5761 1
O3 O 0.8264 0.8138 0.0761 1
O4 O 0.3264 0.6862 0.9239 1
O5 O 0.3264 0.6862 0.5761 1
O6 O 0.8264 0.8138 0.4239 1
O7 O 0.1736 0.1862 0.9239 1
O8 O 0.6736 0.3138 0.0761 1
O9 O 0.1548 0.4317 0.2500 1
O10 O 0.6548 0.0683 0.7500 1
O11 O 0.3452 0.9317 0.2500 1
O12 O 0.8452 0.5683 0.7500 1
# Magnetization = 0.00 μB/cell
# ΔE_f (raw) = -2.42 eV/atom
# SG = Pnma

# 2
# Ca3PdO (meta-GGA SCAN, PBEsol geometry)
data_Ca3PdO
_cell_length_a 4.6845
_cell_length_b 4.6845
_cell_length_c 4.6845
_cell_angle_alpha 90.00
_cell_angle_beta 90.00
_cell_angle_gamma 90.00
_symmetry_space_group_name_H-M 'P 1'
_symmetry_Int_Tables_number 1
loop_
_symmetry_equiv_pos_as_xyz
'x,y,z'
loop_
_atom_site_label
_atom_site_type_symbol
_atom_site_fract_x
_atom_site_fract_y
_atom_site_fract_z
_atom_site_occupancy
Ca1 Ca 0.0000 0.5000 0.0000 1
Ca2 Ca 0.0000 0.0000 0.5000 1
Ca3 Ca 0.5000 0.0000 0.0000 1
O1 O 0.0000 0.0000 0.0000 1
Pd1 Pd 0.5000 0.5000 0.5000 1
# Magnetization = 0.00 μB/cell
# ΔE_f (raw) = -1.54 eV/atom
# SG = Pm-3m

# 3
# Ni2Pt (meta-GGA SCAN, PBEsol geometry)
data_Ni2Pt
_cell_length_a 3.6284
_cell_length_b 3.6284
_cell_length_c 11.2738
_cell_angle_alpha 99.26
_cell_angle_beta 99.26
_cell_angle_gamma 90.00
_symmetry_space_group_name_H-M 'P 1'
_symmetry_Int_Tables_number 1
loop_
_symmetry_equiv_pos_as_xyz
'x,y,z'
loop_
_atom_site_label
_atom_site_type_symbol
_atom_site_fract_x
_atom_site_fract_y
_atom_site_fract_z
_atom_site_occupancy
Ni1 Ni 0.9998 0.4998 0.9996 1
Ni2 Ni 0.5002 0.0002 0.0004 1
Ni3 Ni 0.7498 0.7498 0.4996 1
Ni4 Ni 0.2502 0.2502 0.5004 1
Ni5 Ni 0.8315 0.3315 0.6630 1
Ni6 Ni 0.6685 0.1685 0.3370 1
Ni7 Ni 0.5815 0.5815 0.1630 1
Ni8 Ni 0.4185 0.4185 0.8370 1
Pt1 Pt 0.1694 0.6694 0.3387 1
Pt2 Pt 0.3306 0.8306 0.6613 1
Pt3 Pt 0.9194 0.9194 0.8387 1
Pt4 Pt 0.0806 0.0806 0.1613 1
# Magnetization = 8.57 μB/cell
# Energy of formation from the pure elements = -0.13 eV per atom
# SG = I4_1/amd

# 4
# MgZn2Au (meta-GGA SCAN, PBEsol geometry)
data_MgZn2Au
_cell_length_a 2.9814
_cell_length_b 4.2170
_cell_length_c 5.4160
_cell_angle_alpha 90.00
_cell_angle_beta 106.49
_cell_angle_gamma 90.00
_symmetry_space_group_name_H-M 'P 1'
_symmetry_Int_Tables_number 1
loop_
_symmetry_equiv_pos_as_xyz
'x,y,z'
loop_
_atom_site_label
_atom_site_type_symbol
_atom_site_fract_x
_atom_site_fract_y
_atom_site_fract_z
_atom_site_occupancy
Zn1 Zn 0.9595 0.0000 0.0438 1
Zn2 Zn 0.5470 0.5000 0.2246 1
Au1 Au 0.6961 0.0000 0.5185 1
Mg1 Mg 0.2974 0.5000 0.7131 1
# Magnetization = 0.00 μB/cell
# Energy of formation from the pure elements = -0.31 eV per atom
# SG = Pm

# 5
# CaPt2Se (meta-GGA SCAN, PBEsol geometry)
data_CaPt2Se
_cell_length_a 4.0604
_cell_length_b 4.0604
_cell_length_c 5.1530
_cell_angle_alpha 113.20
_cell_angle_beta 113.20
_cell_angle_gamma 90.00
_symmetry_space_group_name_H-M 'P 1'
_symmetry_Int_Tables_number 1
loop_
_symmetry_equiv_pos_as_xyz
'x,y,z'
loop_
_atom_site_label
_atom_site_type_symbol
_atom_site_fract_x
_atom_site_fract_y
_atom_site_fract_z
_atom_site_occupancy
Ca1 Ca 0.7500 0.2500 0.5000 1
Se1 Se 0.5000 0.5000 0.0000 1
Pt1 Pt 0.0000 0.0000 0.0000 1
Pt2 Pt 0.2500 0.7500 0.5000 1
# Magnetization = 0.00 μB/cell
# ΔE_f (raw) = -0.43 eV/atom
# SG = I-4m2

# 6
# YMoRh2 (meta-GGA SCAN, PBEsol geometry)
data_YMoRh2
_cell_length_a 3.9249
_cell_length_b 3.9249
_cell_length_c 5.0927
_cell_angle_alpha 112.67
_cell_angle_beta 112.67
_cell_angle_gamma 90.00
_symmetry_space_group_name_H-M 'P 1'
_symmetry_Int_Tables_number 1
loop_
_symmetry_equiv_pos_as_xyz
'x,y,z'
loop_
_atom_site_label
_atom_site_type_symbol
_atom_site_fract_x
_atom_site_fract_y
_atom_site_fract_z
_atom_site_occupancy
Mo1 Mo 0.2500 0.7500 0.5000 1
Rh1 Rh 0.0000 0.0000 0.0000 1
Rh2 Rh 0.7500 0.2500 0.5000 1
Y1 Y 0.5000 0.5000 0.0000 1
# Magnetization = 0.00 μB/cell
# ΔE to the lowest computed polymorph = 68 meV/atom
# Energy of formation from the pure elements = -0.09 eV per atom
# SG = I-4m2

# 7
# Li8HfO6 (meta-GGA SCAN, PBEsol geometry)
data_Li8HfO6
_cell_length_a 5.4337
_cell_length_b 5.4337
_cell_length_c 5.9903
_cell_angle_alpha 63.03
_cell_angle_beta 63.03
_cell_angle_gamma 60.00
_symmetry_space_group_name_H-M 'P 1'
_symmetry_Int_Tables_number 1
loop_
_symmetry_equiv_pos_as_xyz
'x,y,z'
loop_
_atom_site_label
_atom_site_type_symbol
_atom_site_fract_x
_atom_site_fract_y
_atom_site_fract_z
_atom_site_occupancy
Hf1 Hf 0.0000 0.0000 0.0000 1
O1 O 0.9082 0.6145 0.2425 1
O2 O 0.7652 0.0918 0.7575 1
O3 O 0.3855 0.7652 0.7575 1
O4 O 0.6145 0.2348 0.2425 1
O5 O 0.2348 0.9082 0.2425 1
O6 O 0.0918 0.3855 0.7575 1
Li1 Li 0.7653 0.4957 0.6358 1
Li2 Li 0.8968 0.2347 0.3642 1
Li3 Li 0.5043 0.8968 0.3642 1
Li4 Li 0.3438 0.3438 0.9687 1
Li5 Li 0.6562 0.6562 0.0313 1
Li6 Li 0.4957 0.1032 0.6358 1
Li7 Li 0.1032 0.7653 0.6358 1
Li8 Li 0.2347 0.5043 0.3642 1
# Magnetization = 0.00 μB/cell
# ΔE to the lowest computed polymorph = 0 meV/atom
# ΔE_f (raw) = -2.45 eV/atom
# SG = R-3

# 8
# Mn2ZnSb (meta-GGA SCAN, PBEsol geometry)
data_Mn2ZnSb
_cell_length_a 2.8966
_cell_length_b 2.8966
_cell_length_c 7.6376
_cell_angle_alpha 90.00
_cell_angle_beta 90.00
_cell_angle_gamma 90.00
_symmetry_space_group_name_H-M 'P 1'
_symmetry_Int_Tables_number 1
loop_
_symmetry_equiv_pos_as_xyz
'x,y,z'
loop_
_atom_site_label
_atom_site_type_symbol
_atom_site_fract_x
_atom_site_fract_y
_atom_site_fract_z
_atom_site_occupancy
Mn1 Mn 0.0000 0.0000 0.0312 1
Mn2 Mn 0.5000 0.5000 0.1928 1
Sb1 Sb 0.0000 0.0000 0.4464 1
Zn1 Zn 0.5000 0.5000 0.8297 1
# Magnetization = 0.35 μB/cell
# ΔE to the lowest computed polymorph = 143 meV/atom
# ΔE_f (raw) = 0.11 eV/atom
# SG = P4mm

# 9
# V2Co21B6 (meta-GGA SCAN, PBEsol geometry)
data_V2Co21B6
_cell_length_a 7.2501
_cell_length_b 7.2501
_cell_length_c 7.2501
_cell_angle_alpha 60.00
_cell_angle_beta 60.00
_cell_angle_gamma 60.00
_symmetry_space_group_name_H-M 'P 1'
_symmetry_Int_Tables_number 1
loop_
_symmetry_equiv_pos_as_xyz
'x,y,z'
loop_
_atom_site_label
_atom_site_type_symbol
_atom_site_fract_x
_atom_site_fract_y
_atom_site_fract_z
_atom_site_occupancy
V1 V 0.7500 0.7500 0.7500 1
V2 V 0.2500 0.2500 0.2500 1
Co1 Co 0.0000 0.0000 0.0000 1
Co2 Co 0.6201 0.1398 0.6201 1
Co3 Co 0.6201 0.6201 0.1398 1
Co4 Co 0.6201 0.6201 0.6201 1
Co5 Co 0.1398 0.6201 0.6201 1
Co6 Co 0.3799 0.8602 0.3799 1
Co7 Co 0.3799 0.3799 0.8602 1
Co8 Co 0.3799 0.3799 0.3799 1
Co9 Co 0.8602 0.3799 0.3799 1
Co10 Co 0.6619 0.3381 0.0000 1
Co11 Co 0.0000 0.3381 0.0000 1
Co12 Co 0.0000 0.3381 0.6619 1
Co13 Co 0.0000 0.0000 0.3381 1
Co14 Co 0.6619 0.0000 0.3381 1
Co15 Co 0.0000 0.6619 0.3381 1
Co16 Co 0.0000 0.0000 0.6619 1
Co17 Co 0.0000 0.6619 0.0000 1
Co18 Co 0.6619 0.0000 0.0000 1
Co19 Co 0.3381 0.6619 0.0000 1
Co20 Co 0.3381 0.0000 0.6619 1
Co21 Co 0.3381 0.0000 0.0000 1
B1 B 0.2752 0.2752 0.7248 1
B2 B 0.7248 0.2752 0.7248 1
B3 B 0.7248 0.2752 0.2752 1
B4 B 0.7248 0.7248 0.2752 1
B5 B 0.2752 0.7248 0.2752 1
B6 B 0.2752 0.7248 0.7248 1
# Magnetization = 22.91 μB/cell
# Energy of formation from the pure elements = -0.17 eV per atom
# SG = Fm-3m

# 10
# InNiW (meta-GGA SCAN, PBEsol geometry)
data_InNiW
_cell_length_a 4.1366
_cell_length_b 4.1366
_cell_length_c 4.1366
_cell_angle_alpha 60.00
_cell_angle_beta 60.00
_cell_angle_gamma 60.00
_symmetry_space_group_name_H-M 'P 1'
_symmetry_Int_Tables_number 1
loop_
_symmetry_equiv_pos_as_xyz
'x,y,z'
loop_
_atom_site_label
_atom_site_type_symbol
_atom_site_fract_x
_atom_site_fract_y
_atom_site_fract_z
_atom_site_occupancy
In1 In 0.5000 0.5000 0.5000 1
Ni1 Ni 0.7500 0.7500 0.7500 1
W1 W 0.0000 0.0000 0.0000 1
# Magnetization = 0.72 μB/cell
# Energy of formation from the pure elements = 0.52 eV per atom
# SG = F-43m

# 11
# CeSi3Os (meta-GGA SCAN, PBEsol geometry)
data_CeSi3Os
_cell_length_a 4.1581
_cell_length_b 4.1581
_cell_length_c 5.7733
_cell_angle_alpha 111.11
_cell_angle_beta 111.11
_cell_angle_gamma 90.00
_symmetry_space_group_name_H-M 'P 1'
_symmetry_Int_Tables_number 1
loop_
_symmetry_equiv_pos_as_xyz
'x,y,z'
loop_
_atom_site_label
_atom_site_type_symbol
_atom_site_fract_x
_atom_site_fract_y
_atom_site_fract_z
_atom_site_occupancy
Si1 Si 0.5781 0.5781 0.1563 1
Si2 Si 0.7329 0.2329 0.4659 1
Si3 Si 0.2329 0.7329 0.4659 1
Os1 Os 0.3441 0.3441 0.6881 1
Ce1 Ce 0.0030 0.0030 0.0059 1
# Magnetization = 0.47 μB/cell
# ΔE_f (raw) = -0.69 eV/atom
# SG = I4mm

# 12
# TeS4O14 (meta-GGA SCAN, PBEsol geometry)
data_TeS4O14
_cell_length_a 6.8615
_cell_length_b 6.8748
_cell_length_c 12.0483
_cell_angle_alpha 80.19
_cell_angle_beta 80.13
_cell_angle_gamma 78.29
_symmetry_space_group_name_H-M 'P 1'
_symmetry_Int_Tables_number 1
loop_
_symmetry_equiv_pos_as_xyz
'x,y,z'
loop_
_atom_site_label
_atom_site_type_symbol
_atom_site_fract_x
_atom_site_fract_y
_atom_site_fract_z
_atom_site_occupancy
S1 S 0.4699 0.9249 0.8514 1
S2 S 0.9348 0.4604 0.3474 1
S3 S 0.1998 0.6992 0.0022 1
S4 S 0.2998 0.7986 0.5058 1
S5 S 0.7078 0.1922 0.5028 1
S6 S 0.8002 0.2958 0.0015 1
S7 S 0.2126 0.4901 0.6881 1
S8 S 0.5310 0.0697 0.1551 1
Te1 Te 0.0610 0.9445 0.7516 1
Te2 Te 0.9436 0.0551 0.2497 1
O1 O 0.6790 0.8811 0.8086 1
O2 O 0.8883 0.6706 0.3080 1
O3 O 0.3572 0.9197 0.7482 1
O4 O 0.4282 0.7231 0.9318 1
O5 O 0.6156 0.8963 0.1021 1
O6 O 0.8186 0.2163 0.8972 1
O7 O 0.5033 0.7661 0.5241 1
O8 O 0.9114 0.3519 0.2462 1
O9 O 0.1594 0.9463 0.5789 1
O10 O 0.7398 0.4203 0.4358 1
O11 O 0.0619 0.8448 0.9266 1
O12 O 0.2471 0.8384 0.3935 1
O13 O 0.8007 0.5013 0.0015 1
O14 O 0.7843 0.1677 0.6085 1
O15 O 0.4077 0.4658 0.7185 1
O16 O 0.1990 0.4936 0.0015 1
O17 O 0.9403 0.1511 0.0780 1
O18 O 0.0609 0.6527 0.7519 1
O19 O 0.2078 0.5883 0.5574 1
O20 O 0.8489 0.0539 0.4249 1
O21 O 0.1824 0.7746 0.1081 1
O22 O 0.5003 0.1982 0.5017 1
O23 O 0.3819 0.0960 0.9058 1
O24 O 0.6459 0.0759 0.2571 1
O25 O 0.5737 0.2705 0.0734 1
O26 O 0.1102 0.3244 0.6988 1
O27 O 0.1141 0.3704 0.3933 1
O28 O 0.3218 0.1182 0.1971 1
# Magnetization = 0.00 μB/cell
# ΔE_f (raw) = -1.27 eV/atom
# SG = P1

| no. | DFT total energy (eV per cell) |
| --- | --- |
| 1 | -315.151 |
| 2 | -75.675 |
| 3 | -411.683 |
| 4 | -102.398 |
| 5 | -171.865 |
| 6 | -130.641 |
| 7 | -155.958 |
| 8 | -86.865 |
| 9 | -448.014 |
| 10 | -117.680 |
| 11 | -149.938 |
| 12 | -374.084 |